Record 1
CaTaNiSb2 PBEsol relaxed; magnetization = 0.0 Bohr magnetons per cell; raw formation energy = 1.74 eV per formula unit; symmetry = No. 123; final energy = -0.4148 Ry per atom
1.0
4.711 0.000 0.000
0.000 4.947 0.000
0.000 0.000 4.947
Sb Ca Ni Ta
2 1 1 1
Cartesian
0.000 0.000 2.473
0.000 2.473 0.000
2.356 2.473 2.473
0.000 0.000 0.000
2.356 0.000 0.000

***

Record 2
CaScNi4 PBEsol relaxed; energy of formation = -0.32 eV per atom; magnetization = 0.0 Bohr magnetons per cell; symmetry = No. 216; final energy = -0.4323 Ry per atom
1.0
-1.722 -2.283 -3.976
3.093 -1.551 -3.466
0.794 -4.795 -0.606
Ca Ni Sc
1 4 1
Cartesian
0.000 0.000 0.000
0.813 -3.239 -3.021
1.208 -5.629 -3.323
-0.045 -4.377 -5.003
2.354 -4.012 -4.748
1.624 -6.472 -6.036

***

Record 3
Ca2ScNi PBEsol relaxed; energy of formation = 0.02 eV per atom; magnetization = 0.0 Bohr magnetons per cell; energy above the most stable polymorph in this dataset = 99 meV/atom; symmetry = No. 44; final energy = -0.3115 Ry per atom
1.0
3.435 0.000 0.000
0.000 5.488 0.000
-1.717 -2.744 5.427
Sc Ni Ca
1 1 2
Cartesian
0.000 2.744 1.925
1.717 2.744 0.197
1.717 2.744 5.389
1.717 0.000 3.344

***

Record 4
CaSc2Ni PBEsol relaxed; energy of formation = 0.27 eV per atom; magnetization = 0.0 Bohr magnetons per cell; energy above the most stable polymorph in this dataset = 336 meV/atom; symmetry = No. 119; final energy = -0.3753 Ry per atom
1.0
4.144 0.000 0.000
0.000 4.144 0.000
-2.072 -2.072 4.833
Sc Ni Ca
2 1 1
Cartesian
0.000 0.000 0.000
2.072 0.000 2.417
0.000 2.072 2.417
2.072 2.072 0.000

***

Record 5
CaSc2Ni PBEsol relaxed; energy of formation = 0.19 eV per atom; magnetization = 0.0 Bohr magnetons per cell; energy above the most stable polymorph in this dataset = 262 meV/atom; symmetry = No. 47; final energy = -0.3808 Ry per atom
1.0
-2.489 1.262 2.437
-3.351 -0.192 -3.323
-1.011 -4.464 1.278
Sc Ni Ca
2 1 1
Cartesian
0.000 0.000 0.000
-2.920 0.535 -0.443
-2.181 -2.328 -1.023
-1.750 -1.601 1.857

***

Record 6
Ca2ScNi PBEsol relaxed; energy of formation = 0.16 eV per atom; magnetization = 0.5 Bohr magnetons per cell; energy above the most stable polymorph in this dataset = 243 meV/atom; symmetry = No. 65; final energy = -0.3010 Ry per atom
1.0
3.347 0.081 0.000
-0.071 3.347 0.000
0.000 0.000 8.821
Sc Ni Ca
1 1 2
Cartesian
1.638 1.714 0.000
1.638 1.714 4.410
0.000 0.000 2.744
0.000 0.000 6.077

***

Record 7
CaSc2Ni PBEsol relaxed; energy of formation = 0.00 eV per atom; magnetization = 0.0 Bohr magnetons per cell; energy above the most stable polymorph in this dataset = 69 meV/atom; symmetry = No. 44; final energy = -0.3950 Ry per atom
1.0
3.356 0.000 0.000
0.000 4.929 0.000
-1.678 -2.465 5.252
Sc Ni Ca
2 1 1
Cartesian
1.678 2.465 4.590
1.678 0.000 2.611
0.000 2.465 2.782
1.678 2.465 0.521

***

Record 8
CaScNi PBEsol relaxed; energy of formation = 0.01 eV per atom; magnetization = 0.0 Bohr magnetons per cell; symmetry = No. 156; final energy = -0.3644 Ry per atom
1.0
3.702 0.000 0.000
-1.851 3.206 0.000
0.000 0.000 6.197
Sc Ni Ca
1 1 1
Cartesian
1.851 1.069 2.709
0.000 2.138 3.946
0.000 0.000 5.738

***

Record 9
Ca2ScNi PBEsol relaxed; energy of formation = 0.34 eV per atom; magnetization = 0.0 Bohr magnetons per cell; energy above the most stable polymorph in this dataset = 425 meV/atom; symmetry = No. 139; final energy = -0.2876 Ry per atom
1.0
4.297 0.000 0.000
0.000 4.297 0.000
-2.149 -2.149 5.046
Sc Ni Ca
1 1 2
Cartesian
0.000 0.000 0.000
2.149 2.149 0.000
2.149 0.000 2.523
0.000 2.149 2.523

***

Record 10
CaScNi3 PBEsol relaxed; energy of formation = 1.02 eV per atom; magnetization = 0.0 Bohr magnetons per cell; symmetry = No. 221; final energy = -0.3254 Ry per atom
1.0
4.465 0.000 0.000
0.000 4.465 0.000
0.000 0.000 4.465
Sc Ni Ca
1 3 1
Cartesian
2.233 2.233 2.233
0.000 2.233 0.000
0.000 0.000 2.233
2.233 0.000 0.000
0.000 0.000 0.000

***

Record 11
CaSc2Ni PBEsol relaxed; energy of formation = -0.07 eV per atom; magnetization = 0.0 Bohr magnetons per cell; energy above the most stable polymorph in this dataset = 0 meV/atom; symmetry = No. 71; final energy = -0.4000 Ry per atom
1.0
3.281 0.000 0.000
0.000 5.209 0.000
-1.641 -2.605 5.160
Sc Ni Ca
2 1 1
Cartesian
1.641 2.605 3.180
0.000 0.000 1.980
1.641 0.000 0.000
0.000 2.605 0.000

***

Record 12
Ca2ScNi PBEsol relaxed; energy of formation = -0.08 eV per atom; magnetization = 0.0 Bohr magnetons per cell; energy above the most stable polymorph in this dataset = 0 meV/atom; symmetry = No. 99; final energy = -0.3188 Ry per atom
1.0
-0.821 -2.321 -2.296
2.440 -2.010 1.159
-5.776 -3.676 5.783
Sc Ni Ca
1 1 2
Cartesian
-3.049 -4.621 3.295
-3.117 -1.983 3.121
-5.592 -3.558 5.599
-1.063 -3.357 1.306

***

Record 13
CaNiSe PBEsol relaxed; magnetization = 0.0 Bohr magnetons per cell; raw formation energy = -1.36 eV per formula unit; symmetry = No. 107; final energy = -0.3309 Ry per atom
1.0
-1.191 0.376 -3.157
-2.448 -2.259 0.655
-1.106 4.557 2.786
Ni Ca Se
1 1 1
Cartesian
-3.062 0.594 -0.599
-4.740 2.668 0.281
-1.689 2.087 0.886

***

Record 14
CaNiSe2 PBEsol relaxed; magnetization = 0.0 Bohr magnetons per cell; raw formation energy = -3.43 eV per formula unit; symmetry = No. 6; final energy = -0.3569 Ry per atom
1.0
-1.563 -2.440 -2.732
0.106 -3.205 2.802
-4.243 2.091 2.552
Ni Ca Se
1 1 2
Cartesian
-3.364 -0.043 3.314
-2.644 -0.131 -0.049
-3.980 1.637 2.023
-2.857 -3.103 -0.204

***

Record 15
CaNiSe PBEsol relaxed; magnetization = 0.0 Bohr magnetons per cell; raw formation energy = -3.09 eV per formula unit; symmetry = No. 187; final energy = -0.3733 Ry per atom
1.0
-0.377 -3.654 -1.496
2.613 -1.376 2.701
-3.911 0.056 0.848
Ni Ca Se
1 1 1
Cartesian
0.250 -2.725 1.335
0.000 0.000 0.000
-1.925 -2.248 0.717